[1]
{
  "formula": "Tb2NdSmHo2",
  "functional": "PBE",
  "state": "optimized geometry",
  "final_energy_ev_per_atom": -4.3758,
  "spacegroup": "Pnnm",
  "m_tot_mub_per_atom": 0.000,
  "crystal_system": "orthorhombic",
  "formation_energy_ev_per_atom": 0.27,
  "dos_ef_per_ev_fu": 9.654,
  "lattice": [[-0.115, -0.921, -3.271], [3.413, -5.450, 1.415], [-15.278, -8.785, 3.011]],
  "species": ["Tb", "Tb", "Tb", "Tb", "Ho", "Ho", "Ho", "Ho", "Nd", "Nd", "Sm", "Sm"],
  "fractional_positions": [[0.500, 0.275, 0.314], [0.000, 0.775, 0.186], [0.000, 0.225, 0.814], [0.500, 0.725, 0.686], [0.000, 0.723, 0.851], [0.500, 0.223, 0.649], [0.000, 0.277, 0.149], [0.500, 0.777, 0.351], [0.000, 0.000, 0.000], [0.500, 0.500, 0.500], [0.500, 0.500, 0.000], [0.000, 0.000, 0.500]]
}



[2]
{
  "formula": "CoPt2Se",
  "functional": "PBE",
  "state": "optimized geometry",
  "final_energy_ev_per_atom": -5.4090,
  "spacegroup": "I-4m2",
  "m_tot_mub_per_atom": 0.535,
  "crystal_system": "tetragonal",
  "formation_energy_uncorrected_mev_per_atom": 259,
  "dos_ef_per_ev_fu": 4.287,
  "lattice": [[-4.085, 1.499, 1.875], [-3.349, -0.958, -3.212], [3.318, -2.833, 1.849]],
  "species": ["Co", "Pt", "Pt", "Se"],
  "fractional_positions": [[0.750, 0.250, 0.500], [0.250, 0.750, 0.500], [0.000, 0.000, 0.000], [0.500, 0.500, 0.000]]
}